1.
ZrV3H after structural relaxation, computed with PBE.

## Properties
As for the size of the total moment: 0.0000 μB per atom. The excess energy over the best structure of this formula in the dataset comes out at 0.000 eV/atom. Its symmetry is Pm-3m (221).

Lattice parameters (Å, degrees): 4.041 4.041 4.041 90.00 90.00 90.00
Sites, in units of the cell vectors:
1 Zr 0.000 0.000 0.000
2 V 0.000 0.500 0.500
3 V 0.500 0.000 0.500
4 V 0.500 0.500 0.000
5 H 0.500 0.500 0.500



2.
Mg6HIr3 after structural relaxation, computed with PBE.

## Properties
As for the size of the total moment: 0.0000 μB per atom. The excess energy over the best structure of this formula in the dataset comes out at 0.013 eV/atom. Its symmetry is P1 (1).

Lattice parameters (Å, degrees): 4.422 4.692 9.488 89.49 76.61 61.90
Sites, in units of the cell vectors:
1 Mg 0.000 0.000 0.000
2 Mg 0.011 0.438 0.536
3 Mg 0.205 0.399 0.189
4 Mg 0.243 0.828 0.684
5 Mg 0.478 0.220 0.823
6 Mg 0.814 0.025 0.343
7 H 0.525 0.424 0.519
8 Ir 0.475 0.663 0.384
9 Ir 0.557 0.769 0.118
10 Ir 0.793 0.567 0.846



3.
CeAu3 after structural relaxation, computed with PBE.

## Properties
Its formation energy is -0.580 eV/atom. As for the size of the total moment: 0.1608 μB per atom. Its symmetry is P6_3/mmc (194).

Lattice parameters (Å, degrees): 6.485 6.485 4.804 90.00 90.00 120.00
Sites, in units of the cell vectors:
1 Ce 0.333 0.667 0.250
2 Ce 0.667 0.333 0.750
3 Au 0.156 0.312 0.750
4 Au 0.156 0.844 0.750
5 Au 0.312 0.156 0.250
6 Au 0.688 0.844 0.750
7 Au 0.844 0.156 0.250
8 Au 0.844 0.688 0.250



4.
K2CuAgO2 after structural relaxation, computed with PBE.

## Properties
The value obtained for the formation energy without anion corrections is -4.546 eV/f.u. As for the size of the total moment: 0.0001 μB per atom. Its symmetry is Cmcm (63).

Lattice parameters (Å, degrees): 7.447 7.447 5.510 90.00 90.00 60.71
Sites, in units of the cell vectors:
1 K 0.024 0.327 0.250
2 K 0.327 0.024 0.750
3 K 0.673 0.976 0.250
4 K 0.976 0.673 0.750
5 Cu 0.221 0.779 0.250
6 Cu 0.779 0.221 0.750
7 Ag 0.500 0.500 0.000
8 Ag 0.500 0.500 0.500
9 O 0.071 0.653 0.250
10 O 0.347 0.929 0.250
11 O 0.653 0.071 0.750
12 O 0.929 0.347 0.750



5.
CaHf2TlH after structural relaxation, computed with PBE.

## Properties
As for the size of the total moment: 0.0000 μB per atom. Its electronic total energy is -5.401 eV/atom. Its symmetry is P4/mmm (123).

Lattice parameters (Å, degrees): 4.351 4.351 5.370 90.00 90.00 90.00
Sites, in units of the cell vectors:
1 Ca 0.000 0.000 0.000
2 Hf 0.000 0.500 0.500
3 Hf 0.500 0.000 0.500
4 Tl 0.500 0.500 0.000
5 H 0.500 0.500 0.500



6.
Nd2Tm3Zn3 after structural relaxation, computed with PBE.

## Properties
Its formation energy is -0.226 eV/atom. As for the size of the total moment: 0.0000 μB per atom. Its symmetry is Immm (71).

Lattice parameters (Å, degrees): 11.290 11.290 11.290 161.48 153.94 32.16
Sites, in units of the cell vectors:
1 Nd 0.227 0.227 0.000
2 Nd 0.773 0.773 0.000
3 Tm 0.000 0.000 0.000
4 Tm 0.386 0.886 0.500
5 Tm 0.614 0.114 0.500
6 Zn 0.110 0.610 0.500
7 Zn 0.500 0.500 0.000
8 Zn 0.890 0.390 0.500



7.
Ca2FeAgN after structural relaxation, computed with PBE.

## Properties
The value obtained for the formation energy without anion corrections is -2.163 eV/f.u. As for the size of the total moment: 0.0000 μB per atom. Its symmetry is P4/mmm (123).

Lattice parameters (Å, degrees): 5.108 5.108 3.561 90.00 90.00 90.00
Sites, in units of the cell vectors:
1 Ca 0.000 0.500 0.000
2 Ca 0.500 0.000 0.000
3 Fe 0.000 0.000 0.500
4 Ag 0.500 0.500 0.500
5 N 0.000 0.000 0.000



8.
BaCeBi2 after structural relaxation, computed with PBE.

## Properties
Its formation energy is -0.708 eV/atom. As for the size of the total moment: 0.1954 μB per atom. The excess energy over the best structure of this formula in the dataset comes out at 0.116 eV/atom. Its symmetry is P4/mmm (123).

Lattice parameters (Å, degrees): 4.061 4.061 8.598 90.00 90.00 90.00
Sites, in units of the cell vectors:
1 Ba 0.000 0.000 0.000
2 Ce 0.000 0.000 0.500
3 Bi 0.500 0.500 0.280
4 Bi 0.500 0.500 0.720



9.
AcLa3Os after structural relaxation, computed with PBE.

## Properties
Its formation energy is -0.030 eV/atom. As for the size of the total moment: 0.0000 μB per atom. The excess energy over the best structure of this formula in the dataset comes out at 0.024 eV/atom. Its symmetry is C2/m (12).

Lattice parameters (Å, degrees): 8.053 8.053 8.139 120.33 120.33 60.50
Sites, in units of the cell vectors:
1 Ac 0.199 0.199 0.178
2 Ac 0.801 0.801 0.822
3 La 0.250 0.250 0.741
4 La 0.268 0.720 0.719
5 La 0.280 0.732 0.281
6 La 0.720 0.268 0.719
7 La 0.732 0.280 0.281
8 La 0.750 0.750 0.259
9 Os 0.000 0.000 0.500
10 Os 0.500 0.500 0.000



10.
ThScCuRu after structural relaxation, computed with PBE.

## Properties
Its formation energy is -0.308 eV/atom. As for the size of the total moment: 0.0000 μB per atom. Its symmetry is F-43m (216).

Lattice parameters (Å, degrees): 4.844 4.844 4.844 60.00 60.00 60.00
Sites, in units of the cell vectors:
1 Th 0.000 0.000 0.000
2 Sc 0.500 0.500 0.500
3 Cu 0.250 0.250 0.250
4 Ru 0.750 0.750 0.750



11.
LaPrNdTm2 after structural relaxation, computed with PBE.

## Properties
Its formation energy is 0.327 eV/atom. As for the size of the total moment: 0.0001 μB per atom. Its symmetry is Cmcm (63).

Lattice parameters (Å, degrees): 7.214 7.214 7.245 90.00 90.00 107.86
Sites, in units of the cell vectors:
1 La 0.232 0.768 0.750
2 La 0.768 0.232 0.250
3 Pr 0.223 0.777 0.250
4 Pr 0.777 0.223 0.750
5 Nd 0.500 0.500 0.250
6 Nd 0.500 0.500 0.750
7 Tm 0.187 0.187 0.000
8 Tm 0.187 0.187 0.500
9 Tm 0.813 0.813 0.000
10 Tm 0.813 0.813 0.500



12.
NaCaBiRh after structural relaxation, computed with PBE.

## Properties
Its formation energy is -0.315 eV/atom. As for the size of the total moment: 0.0000 μB per atom. Its symmetry is F-43m (216).

Lattice parameters (Å, degrees): 4.992 4.992 4.992 60.00 60.00 60.00
Sites, in units of the cell vectors:
1 Na 0.000 0.000 0.000
2 Ca 0.250 0.250 0.250
3 Bi 0.750 0.750 0.750
4 Rh 0.500 0.500 0.500



13.
LaTb2Zr after structural relaxation, computed with PBE.

## Properties
Its formation energy is 0.077 eV/atom. As for the size of the total moment: 0.0000 μB per atom. The excess energy over the best structure of this formula in the dataset comes out at 0.000 eV/atom. Its symmetry is R3m (160).

Lattice parameters (Å, degrees): 11.558 11.558 11.558 17.48 17.48 17.48
Sites, in units of the cell vectors:
1 La 0.000 0.000 0.000
2 Tb 0.423 0.423 0.423
3 Tb 0.577 0.577 0.577
4 Zr 0.834 0.834 0.834



14.
LiCu2SnI6 after structural relaxation, computed with PBE.

## Properties
The value obtained for the formation energy without anion corrections is -4.281 eV/f.u. As for the size of the total moment: 0.0000 μB per atom. Its symmetry is C2/c (15).

Lattice parameters (Å, degrees): 9.717 9.717 7.505 97.95 97.95 85.08
Sites, in units of the cell vectors:
1 Li 0.221 0.779 0.750
2 Li 0.779 0.221 0.250
3 Cu 0.093 0.260 0.811
4 Cu 0.260 0.093 0.311
5 Cu 0.740 0.907 0.689
6 Cu 0.907 0.740 0.189
7 Sn 0.403 0.597 0.250
8 Sn 0.597 0.403 0.750
9 I 0.050 0.210 0.126
10 I 0.119 0.633 0.386
11 I 0.210 0.050 0.626
12 I 0.275 0.465 0.861
13 I 0.367 0.881 0.114
14 I 0.465 0.275 0.361
15 I 0.535 0.725 0.639
16 I 0.633 0.119 0.886
17 I 0.725 0.535 0.139
18 I 0.790 0.950 0.374
19 I 0.881 0.367 0.614
20 I 0.950 0.790 0.874



15.
CsK5Rb after structural relaxation, computed with PBE.

## Properties
Its formation energy is 0.020 eV/atom. As for the size of the total moment: 0.0000 μB per atom. The excess energy over the best structure of this formula in the dataset comes out at 0.000 eV/atom. Its symmetry is Pnma (62).

Lattice parameters (Å, degrees): 14.374 8.768 18.528 90.00 90.00 90.00
Sites, in units of the cell vectors:
1 Cs 0.248 0.250 0.067
2 Cs 0.252 0.750 0.567
3 Cs 0.748 0.250 0.433
4 Cs 0.752 0.750 0.933
5 K 0.047 0.750 0.088
6 K 0.066 0.006 0.310
7 K 0.066 0.494 0.310
8 K 0.096 0.250 0.518
9 K 0.191 0.250 0.748
10 K 0.309 0.750 0.248
11 K 0.404 0.750 0.018
12 K 0.434 0.506 0.810
13 K 0.434 0.994 0.810
14 K 0.453 0.250 0.588
15 K 0.547 0.750 0.412
16 K 0.566 0.006 0.190
17 K 0.566 0.494 0.190
18 K 0.596 0.250 0.982
19 K 0.691 0.250 0.752
20 K 0.809 0.750 0.252
21 K 0.904 0.750 0.482
22 K 0.934 0.506 0.690
23 K 0.934 0.994 0.690
24 K 0.953 0.250 0.912
25 Rb 0.136 0.750 0.856
26 Rb 0.364 0.250 0.356
27 Rb 0.636 0.750 0.644
28 Rb 0.864 0.250 0.144



16.
SrEu2Y after structural relaxation, computed with PBE.

## Properties
Its formation energy is 0.149 eV/atom. As for the size of the total moment: 3.6069 μB per atom. The excess energy over the best structure of this formula in the dataset comes out at 0.060 eV/atom. Its symmetry is P4/mmm (123).

Lattice parameters (Å, degrees): 6.191 6.191 4.275 90.00 90.00 90.00
Sites, in units of the cell vectors:
1 Sr 0.000 0.000 0.000
2 Eu 0.000 0.500 0.500
3 Eu 0.500 0.000 0.500
4 Y 0.500 0.500 0.000



17.
Ce2NbPd after structural relaxation, computed with PBE.

## Properties
Its formation energy is 0.118 eV/atom. As for the size of the total moment: 0.0002 μB per atom. Its symmetry is R-3m (166).

Lattice parameters (Å, degrees): 10.917 10.917 10.917 15.86 15.86 15.86
Sites, in units of the cell vectors:
1 Ce 0.088 0.088 0.088
2 Ce 0.912 0.912 0.912
3 Nb 0.000 0.000 0.000
4 Pd 0.500 0.500 0.500



18.
La2TcH4 after structural relaxation, computed with PBE.

## Properties
As for the size of the total moment: 0.0000 μB per atom. Its electronic total energy is -5.150 eV/atom. Its symmetry is I4/mmm (139).

Lattice parameters (Å, degrees): 6.781 6.781 6.781 147.35 147.35 46.85
Sites, in units of the cell vectors:
1 La 0.149 0.149 0.000
2 La 0.851 0.851 0.000
3 Tc 0.500 0.500 0.000
4 H 0.000 0.500 0.500
5 H 0.353 0.353 0.000
6 H 0.500 0.000 0.500
7 H 0.647 0.647 0.000